Record 1
An optimized crystal structure of Ni2Pt7Rh, computed with PBE.

The total DFT energy (no corrections) comes out at -56.3 eV/f.u.

It has space group Cmmm (No. 65), with a = 7.1176 Å, b = 12.6521 Å, c = 4.0545 Å, α = 90.00°, β = 90.00° and γ = 90.00°. The asymmetric unit holds Ni at (0.0000, 0.1937, 0.0000), Pt at (0.0000, 0.0000, 0.0000), Pt at (0.0000, 0.2947, 0.5000), Pt at (0.1876, 0.3887, 0.0000) and Rh at (0.0000, 0.5000, 0.5000).

***

Record 2
An optimized crystal structure of Ni8Pt2Rh, computed with PBE.

The total DFT energy (no corrections) comes out at -64.1 eV/f.u.

It has space group C2/m (No. 12), with a = 6.6782 Å, b = 12.5965 Å, c = 4.3768 Å, α = 90.00°, β = 130.81° and γ = 90.00°. The asymmetric unit holds Ni at (0.0000, 0.1994, 0.0000), Ni at (0.0024, 0.5000, 0.2556), Ni at (0.2335, 0.1303, 0.7352), Pt at (0.0000, 0.3154, 0.5000) and Rh at (0.0000, 0.0000, 0.0000).

***

Record 3
An optimized crystal structure of NiPt6Rh2, computed with PBE.

The total DFT energy (no corrections) comes out at -57.1 eV/f.u.

It has space group C2/m (No. 12), with a = 8.7543 Å, b = 3.9143 Å, c = 8.2718 Å, α = 90.00°, β = 108.50° and γ = 90.00°. The asymmetric unit holds Ni at (0.0000, 0.0000, 0.0000), Pt at (0.0012, 0.0000, 0.3313), Pt at (0.1647, 0.5000, 0.2205), Pt at (0.1673, 0.5000, 0.8906) and Rh at (0.1651, 0.5000, 0.5532).

***

Record 4
An optimized crystal structure of Ni4Pt2Rh3, computed with PBE.

The total DFT energy (no corrections) comes out at -56.9 eV/f.u.

It has space group C2/m (No. 12), with a = 8.7000 Å, b = 2.6874 Å, c = 10.6631 Å, α = 90.00°, β = 102.78° and γ = 90.00°. The asymmetric unit holds Ni at (0.1260, 0.0000, 0.4445), Ni at (0.1979, 0.5000, 0.8979), Pt at (0.1090, 0.5000, 0.2232), Rh at (0.0000, 0.0000, 0.0000) and Rh at (0.1264, 0.5000, 0.6490).

***

Record 5
An optimized crystal structure of NiPt3Rh4, computed with PBE.

The total DFT energy (no corrections) comes out at -53.4 eV/f.u.

It has space group I4/mmm (No. 139), with a = 3.8662 Å, b = 3.8662 Å, c = 15.4735 Å, α = 90.00°, β = 90.00° and γ = 90.00°. The asymmetric unit holds Ni at (0.0000, 0.0000, 0.0000), Pt at (0.0000, 0.0000, 0.2505), Pt at (0.0000, 0.0000, 0.5000) and Rh at (0.0000, 0.5000, 0.1212).

***

Record 6
An optimized crystal structure of NiPt14Rh, computed with PBE.

The total DFT energy (no corrections) comes out at -97.6 eV/f.u.

It has space group Amm2 (No. 38), with a = 9.2395 Å, b = 5.5598 Å, c = 9.6240 Å, α = 90.00°, β = 90.00° and γ = 90.00°. The asymmetric unit holds Ni at (0.0000, 0.0000, 0.0000), Pt at (0.0000, 0.2493, 0.2501), Pt at (0.2431, 0.2487, 0.0816), Pt at (0.2451, 0.0000, 0.8340), Pt at (0.2477, 0.0000, 0.3332), Pt at (0.5000, 0.0000, 0.1653), Pt at (0.5000, 0.0000, 0.6655), Pt at (0.5000, 0.2505, 0.4158) and Rh at (0.0000, 0.0000, 0.4991).

***

Record 7
An optimized crystal structure of Ni2Pt2Rh3, computed with PBE.

The total DFT energy (no corrections) comes out at -45.3 eV/f.u.

It has space group Cmmm (No. 65), with a = 3.7280 Å, b = 19.7262 Å, c = 2.6958 Å, α = 90.00°, β = 90.00° and γ = 90.00°. The asymmetric unit holds Ni at (0.0000, 0.1368, 0.0000), Pt at (0.0000, 0.2970, 0.5000), Rh at (0.0000, 0.0000, 0.0000) and Rh at (0.0000, 0.4309, 0.5000).

***

Record 8
An optimized crystal structure of Ni8Pt6Rh, computed with PBE.

The total DFT energy (no corrections) comes out at -87.8 eV/f.u.

It has space group R-3 (No. 148, hexagonal axes), with a = 7.2007 Å, b = 7.2007 Å, c = 13.6735 Å, α = 90.00°, β = 90.00° and γ = 120.00°. The asymmetric unit holds Ni at (0.0000, 0.0000, 0.2399), Ni at (0.0394, 0.6119, 0.5669), Pt at (0.0206, 0.7835, 0.4084) and Rh at (0.0000, 0.0000, 0.0000).